VASP calculation (PBE) on an optimized crystal structure of Hf3TlS.

Results
* distance to the lowest polymorph of the same formula: 1.7553 eV/atom
* uncorrected formation energy: 1538 meV per atom

Geometry as CIF:
```
data_Hf3TlS
_space_group_name_H-M_alt 'P m -3 m'
_space_group_IT_number 221
_space_group_name_Hall '-P 4 2 3'
_cell_length_a 5.286
_cell_length_b 5.286
_cell_length_c 5.286
_cell_angle_alpha 90.00
_cell_angle_beta 90.00
_cell_angle_gamma 90.00
loop_
_atom_site_label
_atom_site_fract_x
_atom_site_fract_y
_atom_site_fract_z
Hf1 0.000 0.000 0.500
Tl1 0.000 0.000 0.000
S1 0.500 0.500 0.500
```

---

VASP calculation (PBE) on an optimized crystal structure of Rb2CuPPt.

Results
* calculated formation energy: 1.93 eV per formula unit

Geometry as CIF:
```
data_Rb2CuPPt
_space_group_name_H-M_alt 'P 4/m m m'
_space_group_IT_number 123
_space_group_name_Hall '-P 4 2'
_cell_length_a 6.636
_cell_length_b 6.636
_cell_length_c 4.141
_cell_angle_alpha 90.00
_cell_angle_beta 90.00
_cell_angle_gamma 90.00
loop_
_atom_site_label
_atom_site_fract_x
_atom_site_fract_y
_atom_site_fract_z
Rb1 0.000 0.500 0.000
Cu1 0.000 0.000 0.500
P1 0.000 0.000 0.000
Pt1 0.500 0.500 0.500
```

---

VASP calculation (PBE) on an optimized crystal structure of In2As2F.

Results
* distance to the lowest polymorph of the same formula: 0.0119 eV/atom
* uncorrected formation energy: -433 meV per atom

Geometry as CIF:
```
data_In2As2F
_space_group_name_H-M_alt 'P 4/m b m'
_space_group_IT_number 127
_space_group_name_Hall '-P 4 2ab'
_cell_length_a 6.913
_cell_length_b 6.913
_cell_length_c 4.558
_cell_angle_alpha 90.00
_cell_angle_beta 90.00
_cell_angle_gamma 90.00
loop_
_atom_site_label
_atom_site_fract_x
_atom_site_fract_y
_atom_site_fract_z
In1 0.194 0.306 0.000
As1 0.127 0.627 0.500
F1 0.000 0.000 0.000
```

---

VASP calculation (PBE) on an optimized crystal structure of ZrGa2Si.

Results
* uncorrected formation energy: -127 meV per atom

Geometry as CIF:
```
data_ZrGa2Si
_space_group_name_H-M_alt 'I -4 2 d'
_space_group_IT_number 122
_space_group_name_Hall 'I -4 2bw'
_cell_length_a 7.405
_cell_length_b 7.405
_cell_length_c 5.413
_cell_angle_alpha 90.00
_cell_angle_beta 90.00
_cell_angle_gamma 90.00
loop_
_atom_site_label
_atom_site_fract_x
_atom_site_fract_y
_atom_site_fract_z
Zr1 0.000 0.000 0.000
Ga1 0.213 0.250 0.625
Si1 0.000 0.000 0.500
```

---

VASP calculation (PBE) on an optimized crystal structure of CrIr2Pd.

Results
* calculated formation energy: 1.31 eV per formula unit

Geometry as CIF:
```
data_CrIr2Pd
_space_group_name_H-M_alt 'I -4 2 d'
_space_group_IT_number 122
_space_group_name_Hall 'I -4 2bw'
_cell_length_a 6.912
_cell_length_b 6.912
_cell_length_c 5.211
_cell_angle_alpha 90.00
_cell_angle_beta 90.00
_cell_angle_gamma 90.00
loop_
_atom_site_label
_atom_site_fract_x
_atom_site_fract_y
_atom_site_fract_z
Cr1 0.000 0.000 0.000
Ir1 0.201 0.250 0.125
Pd1 0.000 0.000 0.500
```

---

VASP calculation (PBE) on an optimized crystal structure of Fe3Ag.

Results
* calculated formation energy: 1.34 eV per formula unit

Geometry as CIF:
```
data_Fe3Ag
_space_group_name_H-M_alt 'C 1 2/m 1'
_space_group_IT_number 12
_cell_length_a 8.786
_cell_length_b 2.622
_cell_length_c 4.718
_cell_angle_alpha 90.00
_cell_angle_beta 98.23
_cell_angle_gamma 90.00
loop_
_space_group_symop_operation_xyz
'x,y,z'
'-x,-y,-z'
'-x,y,-z'
'x,-y,z'
'x+1/2,y+1/2,z'
'-x+1/2,-y+1/2,-z'
'-x+1/2,y+1/2,-z'
'x+1/2,-y+1/2,z'
loop_
_atom_site_label
_atom_site_fract_x
_atom_site_fract_y
_atom_site_fract_z
Fe1 0.000 0.000 0.000
Fe2 0.248 0.500 0.235
Ag1 0.000 0.500 0.500
```

---

VASP calculation (PBE) on an optimized crystal structure of K2SbTe.

Results
* distance to the lowest polymorph of the same formula: 0.0738 eV/atom
* uncorrected formation energy: -468 meV per atom

Geometry as CIF:
```
data_K2SbTe
_space_group_name_H-M_alt 'P m m m'
_space_group_IT_number 47
_cell_length_a 3.700
_cell_length_b 5.249
_cell_length_c 6.854
_cell_angle_alpha 90.00
_cell_angle_beta 90.00
_cell_angle_gamma 90.00
loop_
_space_group_symop_operation_xyz
'x,y,z'
'-x,-y,-z'
'-x,-y,z'
'x,y,-z'
'x,-y,-z'
'-x,y,z'
'-x,y,-z'
'x,-y,z'
loop_
_atom_site_label
_atom_site_fract_x
_atom_site_fract_y
_atom_site_fract_z
K1 0.000 0.000 0.248
Sb1 0.500 0.500 0.500
Te1 0.500 0.500 0.000
```

---

VASP calculation (PBE) on an optimized crystal structure of Pm5Tl2Zn2.

Results
* calculated formation energy: -2.23 eV per formula unit

Geometry as CIF:
```
data_Pm5Tl2Zn2
_space_group_name_H-M_alt 'C m c e'
_space_group_IT_number 64
_space_group_name_Hall '-C 2ac 2'
_cell_length_a 17.163
_cell_length_b 7.824
_cell_length_c 7.756
_cell_angle_alpha 90.00
_cell_angle_beta 90.00
_cell_angle_gamma 90.00
loop_
_atom_site_label
_atom_site_fract_x
_atom_site_fract_y
_atom_site_fract_z
Pm1 0.000 0.000 0.000
Pm2 0.132 0.189 0.321
Tl1 0.224 0.000 0.000
Zn1 0.000 0.115 0.617
```

---

VASP calculation (PBE) on an optimized crystal structure of Er8MgNi2.

Results
* calculated formation energy: -1.00 eV per formula unit

Geometry as CIF:
```
data_Er8MgNi2
_space_group_name_H-M_alt 'C 1 2/m 1'
_space_group_IT_number 12
_cell_length_a 8.513
_cell_length_b 13.238
_cell_length_c 5.339
_cell_angle_alpha 90.00
_cell_angle_beta 103.04
_cell_angle_gamma 90.00
loop_
_space_group_symop_operation_xyz
'x,y,z'
'-x,-y,-z'
'-x,y,-z'
'x,-y,z'
'x+1/2,y+1/2,z'
'-x+1/2,-y+1/2,-z'
'-x+1/2,y+1/2,-z'
'x+1/2,-y+1/2,z'
loop_
_atom_site_label
_atom_site_fract_x
_atom_site_fract_y
_atom_site_fract_z
Er1 0.000 0.247 0.000
Er2 0.108 0.000 0.800
Er3 0.202 0.370 0.576
Mg1 0.000 0.500 0.000
Ni1 0.000 0.193 0.500
```

---

VASP calculation (PBE) on an optimized crystal structure of TbNd2Sn2.

Results
* calculated formation energy: -3.10 eV per formula unit
* distance to the lowest polymorph of the same formula: 0.0899 eV/atom

Geometry as CIF:
```
data_TbNd2Sn2
_space_group_name_H-M_alt 'C 1 2/m 1'
_space_group_IT_number 12
_cell_length_a 12.871
_cell_length_b 4.801
_cell_length_c 11.242
_cell_angle_alpha 90.00
_cell_angle_beta 116.79
_cell_angle_gamma 90.00
loop_
_space_group_symop_operation_xyz
'x,y,z'
'-x,-y,-z'
'-x,y,-z'
'x,-y,z'
'x+1/2,y+1/2,z'
'-x+1/2,-y+1/2,-z'
'-x+1/2,y+1/2,-z'
'x+1/2,-y+1/2,z'
loop_
_atom_site_label
_atom_site_fract_x
_atom_site_fract_y
_atom_site_fract_z
Tb1 0.213 0.000 0.354
Nd1 0.011 0.500 0.680
Nd2 0.183 0.500 0.091
Sn1 0.037 0.000 0.891
Sn2 0.128 0.000 0.574
```

---

VASP calculation (PBE) on an optimized crystal structure of SrTiReAu2.

Results
* calculated formation energy: 1.25 eV per formula unit

Geometry as CIF:
```
data_SrTiReAu2
_space_group_name_H-M_alt 'P 4/m m m'
_space_group_IT_number 123
_space_group_name_Hall '-P 4 2'
_cell_length_a 5.278
_cell_length_b 5.278
_cell_length_c 4.528
_cell_angle_alpha 90.00
_cell_angle_beta 90.00
_cell_angle_gamma 90.00
loop_
_atom_site_label
_atom_site_fract_x
_atom_site_fract_y
_atom_site_fract_z
Sr1 0.000 0.000 0.000
Ti1 0.500 0.500 0.000
Re1 0.500 0.500 0.500
Au1 0.000 0.500 0.500
```

---

VASP calculation (PBE) on an optimized crystal structure of Ba5AgRh2.

Results
* calculated formation energy: -1.61 eV per formula unit

Geometry as CIF:
```
data_Ba5AgRh2
_space_group_name_H-M_alt 'I 4/m c m'
_space_group_IT_number 140
_space_group_name_Hall '-I 4 2c'
_cell_length_a 8.642
_cell_length_b 8.642
_cell_length_c 15.605
_cell_angle_alpha 90.00
_cell_angle_beta 90.00
_cell_angle_gamma 90.00
loop_
_atom_site_label
_atom_site_fract_x
_atom_site_fract_y
_atom_site_fract_z
Ba1 0.000 0.000 0.000
Ba2 0.163 0.337 0.131
Ag1 0.000 0.000 0.250
Rh1 0.131 0.369 0.500
```

---

VASP calculation (PBE) on an optimized crystal structure of ScGeSeS.

Results
* distance to the lowest polymorph of the same formula: 0.0095 eV/atom
* uncorrected formation energy: -947 meV per atom

Geometry as CIF:
```
data_ScGeSeS
_space_group_name_H-M_alt 'C 1 m 1'
_space_group_IT_number 8
_cell_length_a 10.082
_cell_length_b 3.590
_cell_length_c 5.289
_cell_angle_alpha 90.00
_cell_angle_beta 120.92
_cell_angle_gamma 90.00
loop_
_space_group_symop_operation_xyz
'x,y,z'
'x,-y,z'
'x+1/2,y+1/2,z'
'x+1/2,-y+1/2,z'
loop_
_atom_site_label
_atom_site_fract_x
_atom_site_fract_y
_atom_site_fract_z
Sc1 0.000 0.000 0.000
Ge1 0.493 0.000 0.545
Se1 0.299 0.000 0.024
S1 0.171 0.500 0.395
```

---

VASP calculation (PBE) on an optimized crystal structure of Sm2YIn.

Results
* calculated formation energy: -0.54 eV per formula unit
* distance to the lowest polymorph of the same formula: 0.1396 eV/atom

Geometry as CIF:
```
data_Sm2YIn
_space_group_name_H-M_alt 'F m -3 m'
_space_group_IT_number 225
_space_group_name_Hall '-F 4 2 3'
_cell_length_a 7.826
_cell_length_b 7.826
_cell_length_c 7.826
_cell_angle_alpha 90.00
_cell_angle_beta 90.00
_cell_angle_gamma 90.00
loop_
_atom_site_label
_atom_site_fract_x
_atom_site_fract_y
_atom_site_fract_z
Sm1 0.250 0.250 0.250
Y1 0.000 0.000 0.000
In1 0.000 0.000 0.500
```

---

VASP calculation (PBE) on an optimized crystal structure of GdScAgPd.

Results
* calculated formation energy: -2.10 eV per formula unit

Geometry as CIF:
```
data_GdScAgPd
_space_group_name_H-M_alt 'F -4 3 m'
_space_group_IT_number 216
_space_group_name_Hall 'F -4 2 3'
_cell_length_a 6.996
_cell_length_b 6.996
_cell_length_c 6.996
_cell_angle_alpha 90.00
_cell_angle_beta 90.00
_cell_angle_gamma 90.00
loop_
_atom_site_label
_atom_site_fract_x
_atom_site_fract_y
_atom_site_fract_z
Gd1 0.000 0.000 0.000
Sc1 0.000 0.000 0.500
Ag1 0.250 0.250 0.750
Pd1 0.250 0.250 0.250
```

---

VASP calculation (PBE) on an optimized crystal structure of CaYTh2P4.

Results
* calculated formation energy: -12.01 eV per formula unit

Geometry as CIF:
```
data_CaYTh2P4
_space_group_name_H-M_alt 'P 1 2/m 1'
_space_group_IT_number 10
_cell_length_a 7.065
_cell_length_b 4.132
_cell_length_c 7.165
_cell_angle_alpha 90.00
_cell_angle_beta 109.67
_cell_angle_gamma 90.00
loop_
_space_group_symop_operation_xyz
'x,y,z'
'-x,-y,-z'
'-x,y,-z'
'x,-y,z'
loop_
_atom_site_label
_atom_site_fract_x
_atom_site_fract_y
_atom_site_fract_z
Ca1 0.000 0.000 0.000
Y1 0.000 0.500 0.500
Th1 0.500 0.000 0.500
Th2 0.500 0.500 0.000
P1 0.248 0.000 0.746
P2 0.253 0.500 0.254
```

---

VASP calculation (PBE) on an optimized crystal structure of AcSn2IrPd2.

Results
* calculated formation energy: -2.35 eV per formula unit

Geometry as CIF:
```
data_AcSn2IrPd2
_space_group_name_H-M_alt 'P 4/m m m'
_space_group_IT_number 123
_space_group_name_Hall '-P 4 2'
_cell_length_a 5.091
_cell_length_b 5.091
_cell_length_c 5.740
_cell_angle_alpha 90.00
_cell_angle_beta 90.00
_cell_angle_gamma 90.00
loop_
_atom_site_label
_atom_site_fract_x
_atom_site_fract_y
_atom_site_fract_z
Ac1 0.000 0.000 0.000
Sn1 0.000 0.500 0.500
Ir1 0.000 0.000 0.500
Pd1 0.500 0.500 0.242
```

---

VASP calculation (PBE) on an optimized crystal structure of YEr5Tm12.

Results
* calculated formation energy: 2.46 eV per formula unit

Geometry as CIF:
```
data_YEr5Tm12
_space_group_name_H-M_alt 'P -3 1 m'
_space_group_IT_number 162
_space_group_name_Hall '-P 3 2'
_cell_length_a 6.0085
_cell_length_b 6.0085
_cell_length_c 17.8242
_cell_angle_alpha 90.00
_cell_angle_beta 90.00
_cell_angle_gamma 120.00
loop_
_atom_site_label
_atom_site_fract_x
_atom_site_fract_y
_atom_site_fract_z
Y1 0.0000 0.0000 0.0000
Er1 0.0000 0.0000 0.5000
Er2 0.3333 0.6667 0.0000
Er3 0.3333 0.6667 0.5000
Tm1 0.0000 0.0000 0.1869
Tm2 0.0000 0.3334 0.3404
Tm3 0.3333 0.6667 0.1858
```

---

VASP calculation (PBE) on an optimized crystal structure of Si2MoAu.

Results
* distance to the lowest polymorph of the same formula: 0.0179 eV/atom
* uncorrected formation energy: -46 meV per atom

Geometry as CIF:
```
data_Si2MoAu
_space_group_name_H-M_alt 'C 1 m 1'
_space_group_IT_number 8
_cell_length_a 9.099
_cell_length_b 3.221
_cell_length_c 4.299
_cell_angle_alpha 90.00
_cell_angle_beta 105.80
_cell_angle_gamma 90.00
loop_
_space_group_symop_operation_xyz
'x,y,z'
'x,-y,z'
'x+1/2,y+1/2,z'
'x+1/2,-y+1/2,z'
loop_
_atom_site_label
_atom_site_fract_x
_atom_site_fract_y
_atom_site_fract_z
Si1 0.000 0.000 0.000
Si2 0.244 0.500 0.360
Mo1 0.270 0.000 0.901
Au1 0.000 0.500 0.513
```

---

VASP calculation (PBE) on an optimized crystal structure of ZnSiPb2.

Results
* distance to the lowest polymorph of the same formula: 0.1732 eV/atom
* uncorrected formation energy: 399 meV per atom

Geometry as CIF:
```
data_ZnSiPb2
_space_group_name_H-M_alt 'C m m m'
_space_group_IT_number 65
_space_group_name_Hall '-C 2 2'
_cell_length_a 7.097
_cell_length_b 8.365
_cell_length_c 3.279
_cell_angle_alpha 90.00
_cell_angle_beta 90.00
_cell_angle_gamma 90.00
loop_
_atom_site_label
_atom_site_fract_x
_atom_site_fract_y
_atom_site_fract_z
Zn1 0.000 0.000 0.000
Si1 0.000 0.500 0.000
Pb1 0.250 0.250 0.500
```